VASP calculation (PBEsol) on a relaxed structure of Mg2POs.

## Properties
ΔH_f (0 K): 0.357 eV per atom
Crystal system: tetragonal

a = 6.454 Å, b = 6.454 Å, c = 6.454 Å
α = 96.64°, β = 96.64°, γ = 140.24°
Fractional coordinates of all 8 atoms:
Mg1 0.006 0.125 0.381
Mg2 0.375 0.994 0.119
Mg3 0.744 0.625 0.619
Mg4 0.875 0.256 0.881
P1 0.000 0.000 0.000
P2 0.750 0.250 0.500
Os1 0.250 0.750 0.500
Os2 0.500 0.500 0.000

=====

VASP calculation (PBEsol) on a relaxed structure of Sc5Zn3.

## Properties
ΔH_f (0 K): -0.206 eV per atom
Distance to the lowest polymorph of the same formula: 0.0 meV per atom
Crystal system: hexagonal

a = 8.231 Å, b = 8.231 Å, c = 5.330 Å
α = 90.00°, β = 90.00°, γ = 120.00°
Fractional coordinates of all 16 atoms:
Sc1 0.000 0.238 0.250
Sc2 0.000 0.762 0.750
Sc3 0.238 0.000 0.250
Sc4 0.238 0.238 0.750
Sc5 0.333 0.667 0.000
Sc6 0.333 0.667 0.500
Sc7 0.667 0.333 0.000
Sc8 0.667 0.333 0.500
Sc9 0.762 0.000 0.750
Sc10 0.762 0.762 0.250
Zn1 0.000 0.403 0.750
Zn2 0.000 0.597 0.250
Zn3 0.403 0.000 0.750
Zn4 0.403 0.403 0.250
Zn5 0.597 0.000 0.250
Zn6 0.597 0.597 0.750

=====

VASP calculation (PBEsol) on a relaxed structure of Zn5Fe3.

## Properties
ΔH_f (0 K): -0.001 eV per atom
Crystal system: orthorhombic

a = 5.229 Å, b = 5.229 Å, c = 3.601 Å
α = 90.00°, β = 90.00°, γ = 92.88°
Fractional coordinates of all 8 atoms:
Zn1 0.000 0.000 0.000
Zn2 0.000 0.500 0.000
Zn3 0.254 0.746 0.500
Zn4 0.500 0.000 0.000
Zn5 0.746 0.254 0.500
Fe1 0.258 0.258 0.500
Fe2 0.500 0.500 0.000
Fe3 0.742 0.742 0.500

=====

VASP calculation (PBEsol) on a relaxed structure of CaScGe2Cl.

## Properties
Formation energy from raw total energies: 0.1330 eV/atom
Crystal system: tetragonal

a = 4.893 Å, b = 4.893 Å, c = 6.721 Å
α = 90.00°, β = 90.00°, γ = 90.00°
Fractional coordinates of all 5 atoms:
Ca1 0.000 0.000 0.000
Sc1 0.000 0.000 0.500
Ge1 0.000 0.500 0.500
Ge2 0.500 0.000 0.500
Cl1 0.500 0.500 0.000

=====

VASP calculation (PBEsol) on a relaxed structure of LaHgSCl2.

## Properties
Formation energy from raw total energies: -0.7136 eV/atom
Crystal system: tetragonal

a = 5.145 Å, b = 5.145 Å, c = 4.989 Å
α = 90.00°, β = 90.00°, γ = 90.00°
Fractional coordinates of all 5 atoms:
La1 0.000 0.000 0.000
Hg1 0.500 0.500 0.500
S1 0.500 0.500 0.000
Cl1 0.000 0.500 0.500
Cl2 0.500 0.000 0.500

=====

VASP calculation (PBEsol) on a relaxed structure of CaNbSe3.

## Properties
Formation energy from raw total energies: -0.8669 eV/atom
Crystal system: cubic

a = 5.024 Å, b = 5.024 Å, c = 5.024 Å
α = 90.00°, β = 90.00°, γ = 90.00°
Fractional coordinates of all 5 atoms:
Ca1 0.000 0.000 0.000
Nb1 0.500 0.500 0.500
Se1 0.000 0.500 0.500
Se2 0.500 0.000 0.500
Se3 0.500 0.500 0.000

=====

VASP calculation (PBEsol) on a relaxed structure of TaBeCd2.

## Properties
ΔH_f (0 K): 0.401 eV per atom
Crystal system: monoclinic

a = 5.532 Å, b = 5.532 Å, c = 2.708 Å
α = 99.84°, β = 99.84°, γ = 120.18°
Fractional coordinates of all 4 atoms:
Ta1 0.000 0.000 0.000
Be1 0.500 0.500 0.000
Cd1 0.000 0.500 0.500
Cd2 0.500 0.000 0.500

=====

VASP calculation (PBEsol) on a relaxed structure of LiTcRh.

## Properties
ΔH_f (0 K): 0.460 eV per atom
Distance to the lowest polymorph of the same formula: 349.4 meV per atom
Crystal system: cubic

a = 4.004 Å, b = 4.004 Å, c = 4.004 Å
α = 60.00°, β = 60.00°, γ = 60.00°
Fractional coordinates of all 3 atoms:
Li1 0.000 0.000 0.000
Tc1 0.500 0.500 0.500
Rh1 0.750 0.750 0.750

=====

VASP calculation (PBEsol) on a relaxed structure of Li2ZnOsSe.

## Properties
Formation energy from raw total energies: 0.7987 eV/atom
Crystal system: tetragonal

a = 4.328 Å, b = 4.328 Å, c = 4.929 Å
α = 90.00°, β = 90.00°, γ = 90.00°
Fractional coordinates of all 5 atoms:
Li1 0.000 0.500 0.000
Li2 0.500 0.000 0.000
Zn1 0.000 0.000 0.500
Os1 0.500 0.500 0.500
Se1 0.000 0.000 0.000

=====

VASP calculation (PBEsol) on a relaxed structure of CaCd2Ir.

## Properties
ΔH_f (0 K): -0.047 eV per atom
Crystal system: orthorhombic

a = 3.163 Å, b = 3.766 Å, c = 6.874 Å
α = 90.00°, β = 90.00°, γ = 90.00°
Fractional coordinates of all 4 atoms:
Ca1 0.000 0.000 0.000
Cd1 0.000 0.000 0.564
Cd2 0.500 0.500 0.325
Ir1 0.500 0.500 0.754

=====

VASP calculation (PBEsol) on a relaxed structure of CaTa2Fe.

## Properties
ΔH_f (0 K): 0.778 eV per atom
Distance to the lowest polymorph of the same formula: 375.8 meV per atom
Crystal system: cubic

a = 4.656 Å, b = 4.656 Å, c = 4.656 Å
α = 60.00°, β = 60.00°, γ = 60.00°
Fractional coordinates of all 4 atoms:
Ca1 0.000 0.000 0.000
Ta1 0.250 0.250 0.250
Ta2 0.500 0.500 0.500
Fe1 0.750 0.750 0.750

=====

VASP calculation (PBEsol) on a relaxed structure of ZrMo4.

## Properties
ΔH_f (0 K): -0.019 eV per atom
Crystal system: tetragonal

a = 5.302 Å, b = 5.302 Å, c = 5.302 Å
α = 95.11°, β = 95.11°, γ = 145.26°
Fractional coordinates of all 5 atoms:
Zr1 0.000 0.000 0.000
Mo1 0.192 0.602 0.793
Mo2 0.398 0.192 0.590
Mo3 0.602 0.808 0.410
Mo4 0.808 0.398 0.207

=====

Please write out number 2 again, unchanged.
VASP calculation (PBEsol) on a relaxed structure of Sc5Zn3.

## Properties
ΔH_f (0 K): -0.206 eV per atom
Distance to the lowest polymorph of the same formula: 0.0 meV per atom
Crystal system: hexagonal

a = 8.231 Å, b = 8.231 Å, c = 5.330 Å
α = 90.00°, β = 90.00°, γ = 120.00°
Fractional coordinates of all 16 atoms:
Sc1 0.000 0.238 0.250
Sc2 0.000 0.762 0.750
Sc3 0.238 0.000 0.250
Sc4 0.238 0.238 0.750
Sc5 0.333 0.667 0.000
Sc6 0.333 0.667 0.500
Sc7 0.667 0.333 0.000
Sc8 0.667 0.333 0.500
Sc9 0.762 0.000 0.750
Sc10 0.762 0.762 0.250
Zn1 0.000 0.403 0.750
Zn2 0.000 0.597 0.250
Zn3 0.403 0.000 0.750
Zn4 0.403 0.403 0.250
Zn5 0.597 0.000 0.250
Zn6 0.597 0.597 0.750

=====

> Which formula does entry 3 have?

Zn5Fe3